Entry 1:
A plane-wave DFT calculation with GGA-PBE was carried out for an optimized crystal structure of HfZr2Ni2P4Pd2.

Magnetization in μB/f.u.: 0.00
Calculated total energy in eV/atom: -7.37

a = 6.454 Å, b = 3.763 Å, c = 7.198 Å
α = 90.00°, β = 91.12°, γ = 90.00°
Sites, in units of the cell vectors:
Hf (0.000, 0.000, 0.000)
Zr (0.056, 0.500, 0.624)
Zr (0.551, 0.500, 0.473)
Ni (0.161, 0.500, 0.251)
Ni (0.897, 0.000, 0.366)
P (0.260, 0.000, 0.412)
P (0.280, 0.500, 0.953)
P (0.769, 0.000, 0.671)
P (0.796, 0.500, 0.201)
Pd (0.376, 0.000, 0.756)
Pd (0.673, 0.500, 0.884)

***

Entry 2:
A plane-wave DFT calculation with GGA-PBE was carried out for an optimized crystal structure of Hf2ZrNi4P4.

Magnetization in μB/f.u.: 0.00
Calculated total energy in eV/atom: -7.55

a = 6.237 Å, b = 3.686 Å, c = 7.031 Å
α = 90.00°, β = 90.90°, γ = 90.00°
Sites, in units of the cell vectors:
Hf (0.000, 0.000, 0.000)
Hf (0.493, 0.000, 0.850)
Zr (0.541, 0.500, 0.480)
Ni (0.162, 0.500, 0.721)
Ni (0.385, 0.000, 0.227)
Ni (0.665, 0.500, 0.106)
Ni (0.882, 0.000, 0.607)
P (0.243, 0.000, 0.537)
P (0.287, 0.500, 0.055)
P (0.772, 0.000, 0.292)
P (0.793, 0.500, 0.791)

***

Entry 3:
A plane-wave DFT calculation with GGA-PBE was carried out for an optimized crystal structure of HfZrNiP.

Magnetization in μB/f.u.: 0.00
Calculated total energy in eV/atom: -8.37

a = 5.213 Å, b = 3.629 Å, c = 7.456 Å
α = 90.00°, β = 110.07°, γ = 90.00°
Sites, in units of the cell vectors:
Hf (0.222, 0.250, 0.430)
Hf (0.778, 0.750, 0.570)
Zr (0.283, 0.750, 0.074)
Zr (0.717, 0.250, 0.926)
Ni (0.351, 0.750, 0.703)
Ni (0.649, 0.250, 0.297)
P (0.141, 0.250, 0.787)
P (0.859, 0.750, 0.213)

***

Entry 4:
A plane-wave DFT calculation with GGA-PBE was carried out for an optimized crystal structure of HfNiPb2.

Magnetization in μB/f.u.: 0.01
Calculated total energy in eV/atom: -5.30

a = 7.122 Å, b = 7.122 Å, c = 7.122 Å
α = 90.00°, β = 90.00°, γ = 90.00°
Sites, in units of the cell vectors:
Hf (0.000, 0.000, 0.000)
Hf (0.000, 0.500, 0.500)
Hf (0.500, 0.000, 0.500)
Hf (0.500, 0.500, 0.000)
Ni (0.250, 0.250, 0.750)
Ni (0.250, 0.750, 0.250)
Ni (0.750, 0.250, 0.250)
Ni (0.750, 0.750, 0.750)
Pb (0.000, 0.000, 0.500)
Pb (0.000, 0.500, 0.000)
Pb (0.250, 0.250, 0.250)
Pb (0.250, 0.750, 0.750)
Pb (0.500, 0.000, 0.000)
Pb (0.500, 0.500, 0.500)
Pb (0.750, 0.250, 0.750)
Pb (0.750, 0.750, 0.250)

***

Entry 5:
A plane-wave DFT calculation with GGA-PBE was carried out for an optimized crystal structure of HfNiPb2.

Magnetization in μB/f.u.: 0.01
Calculated total energy in eV/atom: -5.30

a = 7.125 Å, b = 7.125 Å, c = 7.125 Å
α = 90.00°, β = 90.00°, γ = 90.00°
Sites, in units of the cell vectors:
Hf (0.000, 0.000, 0.000)
Hf (0.000, 0.500, 0.500)
Hf (0.500, 0.000, 0.500)
Hf (0.500, 0.500, 0.000)
Ni (0.250, 0.250, 0.250)
Ni (0.250, 0.750, 0.750)
Ni (0.750, 0.250, 0.750)
Ni (0.750, 0.750, 0.250)
Pb (0.000, 0.000, 0.500)
Pb (0.000, 0.500, 0.000)
Pb (0.250, 0.250, 0.750)
Pb (0.250, 0.750, 0.250)
Pb (0.500, 0.000, 0.000)
Pb (0.500, 0.500, 0.500)
Pb (0.750, 0.250, 0.250)
Pb (0.750, 0.750, 0.750)

***

Entry 6:
A plane-wave DFT calculation with GGA-PBE was carried out for an optimized crystal structure of HfNiPb.

Magnetization in μB/f.u.: 0.00
Calculated total energy in eV/atom: -6.53

a = 7.028 Å, b = 7.028 Å, c = 3.923 Å
α = 90.00°, β = 90.00°, γ = 120.00°
Sites, in units of the cell vectors:
Hf (0.000, 0.599, 0.000)
Hf (0.401, 0.401, 0.000)
Hf (0.599, 0.000, 0.000)
Ni (0.000, 0.000, 0.000)
Ni (0.333, 0.667, 0.500)
Ni (0.667, 0.333, 0.500)
Pb (0.000, 0.269, 0.500)
Pb (0.269, 0.000, 0.500)
Pb (0.731, 0.731, 0.500)